[1]
Entry from the Alexandria database: crystalline LiTbSi3 at its relaxed geometry (PBE-GGA).

abc: 12.0348 12.0348 3.8567
angles: 90.00 90.00 160.48
Positions (direct):
Li (0.2047, 0.7953, 0.7500)
Li (0.7953, 0.2047, 0.2500)
Tb (0.0741, 0.9259, 0.2500)
Tb (0.9259, 0.0741, 0.7500)
Si (0.3173, 0.6827, 0.7500)
Si (0.3737, 0.6263, 0.2500)
Si (0.4732, 0.5268, 0.2500)
Si (0.5268, 0.4732, 0.7500)
Si (0.6263, 0.3737, 0.7500)
Si (0.6827, 0.3173, 0.2500)

- E_form (uncorrected) (eV per atom) = -0.395
- symmetry = No. 63

[2]
Entry from the Alexandria database: crystalline Li4TbSi2 at its relaxed geometry (PBE-GGA).

abc: 8.4182 8.4182 4.0558
angles: 90.00 90.00 152.85
Positions (direct):
Li (0.1729, 0.8271, 0.0000)
Li (0.3238, 0.6762, 0.5000)
Li (0.6762, 0.3238, 0.5000)
Li (0.8271, 0.1729, 0.0000)
Tb (0.5000, 0.5000, 0.0000)
Si (0.0709, 0.9291, 0.5000)
Si (0.9291, 0.0709, 0.5000)

- E_form (uncorrected) (eV per atom) = -0.324
- symmetry = No. 65

[3]
Entry from the Alexandria database: crystalline LiTbSi at its relaxed geometry (PBE-GGA).

abc: 4.2123 3.7775 8.4698
angles: 90.00 104.23 90.00
Positions (direct):
Li (0.2065, 0.2500, 0.4149)
Li (0.7935, 0.7500, 0.5851)
Tb (0.4080, 0.2500, 0.8126)
Tb (0.5920, 0.7500, 0.1874)
Si (0.0454, 0.2500, 0.0916)
Si (0.9546, 0.7500, 0.9084)

- E_form (uncorrected) (eV per atom) = -0.467
- symmetry = No. 11

[4]
Entry from the Alexandria database: crystalline LiTbSi2 at its relaxed geometry (PBE-GGA).

abc: 4.1454 4.1454 4.1777
angles: 90.00 90.00 90.00
Positions (direct):
Li (0.0000, 0.0000, 0.0000)
Tb (0.5000, 0.5000, 0.0000)
Si (0.0000, 0.5000, 0.5000)
Si (0.5000, 0.0000, 0.5000)

- E_form (uncorrected) (eV per atom) = -0.391
- symmetry = No. 123

[5]
Entry from the Alexandria database: crystalline Li2Tb3Si4 at its relaxed geometry (PBE-GGA).

abc: 5.6828 5.6828 8.1901
angles: 105.48 105.48 43.28
Positions (direct):
Li (0.1508, 0.1508, 0.3188)
Li (0.8492, 0.8492, 0.6812)
Tb (0.1474, 0.1474, 0.6794)
Tb (0.5000, 0.5000, 0.0000)
Tb (0.8526, 0.8526, 0.3206)
Si (0.2161, 0.2161, 0.0539)
Si (0.4334, 0.4334, 0.6001)
Si (0.5666, 0.5666, 0.3999)
Si (0.7839, 0.7839, 0.9461)

- E_form (uncorrected) (eV per atom) = -0.615
- symmetry = No. 12

[6]
Entry from the Alexandria database: crystalline LiTbSi2 at its relaxed geometry (PBE-GGA).

abc: 6.6521 4.1217 10.7987
angles: 90.00 90.00 90.00
Positions (direct):
Li (0.1380, 0.2500, 0.0547)
Li (0.3620, 0.7500, 0.5547)
Li (0.6380, 0.2500, 0.4453)
Li (0.8620, 0.7500, 0.9453)
Tb (0.1476, 0.2500, 0.3448)
Tb (0.3524, 0.7500, 0.8448)
Tb (0.6476, 0.2500, 0.1552)
Tb (0.8524, 0.7500, 0.6552)
Si (0.0295, 0.2500, 0.8337)
Si (0.1764, 0.2500, 0.6343)
Si (0.3236, 0.7500, 0.1343)
Si (0.4705, 0.7500, 0.3337)
Si (0.5295, 0.2500, 0.6663)
Si (0.6764, 0.2500, 0.8657)
Si (0.8236, 0.7500, 0.3657)
Si (0.9705, 0.7500, 0.1663)

- E_form (uncorrected) (eV per atom) = -0.580
- symmetry = No. 62

[7]
Entry from the Alexandria database: crystalline LiTbThSi at its relaxed geometry (PBE-GGA).

abc: 5.0712 5.0712 5.0712
angles: 60.00 60.00 60.00
Positions (direct):
Li (0.0000, 0.0000, 0.0000)
Tb (0.7500, 0.7500, 0.7500)
Th (0.2500, 0.2500, 0.2500)
Si (0.5000, 0.5000, 0.5000)

- E_form (uncorrected) (eV per atom) = -0.224
- symmetry = No. 216

[8]
Entry from the Alexandria database: crystalline LiTbTmSi at its relaxed geometry (PBE-GGA).

abc: 4.9391 4.9391 4.9391
angles: 60.00 60.00 60.00
Positions (direct):
Li (0.0000, 0.0000, 0.0000)
Tb (0.7500, 0.7500, 0.7500)
Tm (0.2500, 0.2500, 0.2500)
Si (0.5000, 0.5000, 0.5000)

- E_form (uncorrected) (eV per atom) = -0.350
- symmetry = No. 216

[9]
Entry from the Alexandria database: crystalline Li2TbY2Si2 at its relaxed geometry (PBE-GGA).

abc: 9.3792 9.3792 9.3792
angles: 27.18 27.18 27.18
Positions (direct):
Li (0.1033, 0.1033, 0.1033)
Li (0.8967, 0.8967, 0.8967)
Tb (0.5000, 0.5000, 0.5000)
Y (0.3745, 0.3745, 0.3745)
Y (0.6255, 0.6255, 0.6255)
Si (0.2348, 0.2348, 0.2348)
Si (0.7652, 0.7652, 0.7652)

- E_form (uncorrected) (eV per atom) = -0.411
- symmetry = No. 166

[10]
Entry from the Alexandria database: crystalline Li2Tb2YSi2 at its relaxed geometry (PBE-GGA).

abc: 9.3013 9.3013 9.3013
angles: 27.48 27.48 27.48
Positions (direct):
Li (0.1030, 0.1030, 0.1030)
Li (0.8970, 0.8970, 0.8970)
Tb (0.3739, 0.3739, 0.3739)
Tb (0.6261, 0.6261, 0.6261)
Y (0.5000, 0.5000, 0.5000)
Si (0.2352, 0.2352, 0.2352)
Si (0.7648, 0.7648, 0.7648)

- E_form (uncorrected) (eV per atom) = -0.403
- symmetry = No. 166

[11]
Entry from the Alexandria database: crystalline LiTbZnSi at its relaxed geometry (PBE-GGA).

abc: 4.7618 4.7618 4.7618
angles: 60.00 60.00 60.00
Positions (direct):
Li (0.0000, 0.0000, 0.0000)
Tb (0.5000, 0.5000, 0.5000)
Zn (0.7500, 0.7500, 0.7500)
Si (0.2500, 0.2500, 0.2500)

- E_form (uncorrected) (eV per atom) = -0.356
- symmetry = No. 216

[12]
Entry from the Alexandria database: crystalline LiTbZnSi2 at its relaxed geometry (PBE-GGA).

abc: 6.0250 6.0250 6.0250
angles: 140.84 140.84 56.58
Positions (direct):
Li (0.0000, 0.0000, 0.0000)
Tb (0.2500, 0.7500, 0.5000)
Zn (0.5000, 0.5000, 0.0000)
Si (0.6402, 0.1402, 0.5000)
Si (0.8598, 0.3598, 0.5000)

- E_form (uncorrected) (eV per atom) = -0.473
- symmetry = No. 119

[13]
Entry from the Alexandria database: crystalline Li2SiTc at its relaxed geometry (PBE-GGA).

abc: 9.2274 9.2274 9.2274
angles: 16.71 16.71 16.71
Positions (direct):
Li (0.2476, 0.2476, 0.2476)
Li (0.7524, 0.7524, 0.7524)
Si (0.5000, 0.5000, 0.5000)
Tc (0.0000, 0.0000, 0.0000)

- E_form (uncorrected) (eV per atom) = 0.171
- symmetry = No. 166

[14]
Entry from the Alexandria database: crystalline LiSiTc at its relaxed geometry (PBE-GGA).

abc: 2.8401 2.8401 6.3774
angles: 90.00 90.00 120.00
Positions (direct):
Li (0.0000, 0.0000, 0.0000)
Si (0.6667, 0.3333, 0.3472)
Tc (0.3333, 0.6667, 0.6331)

- E_form (uncorrected) (eV per atom) = 0.035
- symmetry = No. 156

[15]
Entry from the Alexandria database: crystalline Li2SiTc at its relaxed geometry (PBE-GGA).

abc: 5.1062 5.1062 5.1062
angles: 140.44 140.44 57.18
Positions (direct):
Li (0.2500, 0.7500, 0.5000)
Li (0.7500, 0.2500, 0.5000)
Si (0.0000, 0.0000, 0.0000)
Tc (0.5000, 0.5000, 0.0000)

- E_form (uncorrected) (eV per atom) = -0.072
- symmetry = No. 139

[16]
Entry from the Alexandria database: crystalline Li2SiTc at its relaxed geometry (PBE-GGA).

abc: 2.7270 2.7270 8.6671
angles: 90.00 90.00 106.94
Positions (direct):
Li (0.0000, 0.0000, 0.0000)
Li (0.5000, 0.5000, 0.3027)
Si (0.5000, 0.5000, 0.7618)
Tc (0.0000, 0.0000, 0.5538)

- E_form (uncorrected) (eV per atom) = 0.010
- symmetry = No. 35

[17]
Entry from the Alexandria database: crystalline LiSiTc at its relaxed geometry (PBE-GGA).

abc: 4.4700 4.4700 4.4700
angles: 146.09 127.89 63.64
Positions (direct):
Li (0.0000, 0.0000, 0.0000)
Si (0.6720, 0.6720, 0.0000)
Tc (0.3279, 0.3279, 0.0000)

- E_form (uncorrected) (eV per atom) = -0.104
- symmetry = No. 44

[18]
Entry from the Alexandria database: crystalline Li2SiTc at its relaxed geometry (PBE-GGA).

abc: 2.7362 3.6059 5.6838
angles: 90.00 90.00 90.00
Positions (direct):
Li (0.0000, 0.0000, 0.0000)
Li (0.5000, 0.5000, 0.2492)
Si (0.0000, 0.0000, 0.5303)
Tc (0.5000, 0.5000, 0.7235)

- E_form (uncorrected) (eV per atom) = -0.061
- symmetry = No. 25

[19]
Entry from the Alexandria database: crystalline Li2SiTc at its relaxed geometry (PBE-GGA).

abc: 2.6565 4.0277 5.2859
angles: 90.00 102.26 90.00
Positions (direct):
Li (0.0000, 0.0000, 0.0000)
Li (0.3800, 0.5000, 0.8058)
Si (0.0927, 0.5000, 0.3203)
Tc (0.6778, 0.0000, 0.4717)

- E_form (uncorrected) (eV per atom) = -0.089
- symmetry = No. 6

[20]
Entry from the Alexandria database: crystalline LiSiTc4 at its relaxed geometry (PBE-GGA).

abc: 5.0824 5.0824 5.0824
angles: 60.00 60.00 60.00
Positions (direct):
Li (0.0000, 0.0000, 0.0000)
Si (0.7500, 0.7500, 0.7500)
Tc (0.3751, 0.3751, 0.3751)
Tc (0.3751, 0.3751, 0.8747)
Tc (0.3751, 0.8747, 0.3751)
Tc (0.8747, 0.3751, 0.3751)

- E_form (uncorrected) (eV per atom) = 0.423
- symmetry = No. 216

[21]
Entry from the Alexandria database: crystalline LiSiTc at its relaxed geometry (PBE-GGA).

abc: 2.9161 2.9161 12.6067
angles: 91.79 91.79 63.11
Positions (direct):
Li (0.2042, 0.2042, 0.1000)
Li (0.7958, 0.7958, 0.9000)
Si (0.4989, 0.4989, 0.4066)
Si (0.5011, 0.5011, 0.5934)
Tc (0.1632, 0.1632, 0.7244)
Tc (0.8368, 0.8368, 0.2756)

- E_form (uncorrected) (eV per atom) = 0.072
- symmetry = No. 12

[22]
Entry from the Alexandria database: crystalline Li2SiTc at its relaxed geometry (PBE-GGA).

abc: 5.3900 5.3900 5.3900
angles: 101.32 101.32 127.41
Positions (direct):
Li (0.1104, 0.6250, 0.9854)
Li (0.3750, 0.3604, 0.4854)
Li (0.6396, 0.1250, 0.0146)
Li (0.8750, 0.8896, 0.5146)
Si (0.0000, 0.0000, 0.0000)
Si (0.7500, 0.2500, 0.5000)
Tc (0.2500, 0.7500, 0.5000)
Tc (0.5000, 0.5000, 0.0000)

- E_form (uncorrected) (eV per atom) = 0.300
- symmetry = No. 122

[23]
Entry from the Alexandria database: crystalline LiSiTc at its relaxed geometry (PBE-GGA).

abc: 4.4492 4.4492 4.4492
angles: 138.32 138.32 60.41
Positions (direct):
Li (0.0000, 0.0000, 0.0000)
Si (0.3251, 0.3251, 0.0000)
Tc (0.6722, 0.6722, 0.0000)

- E_form (uncorrected) (eV per atom) = -0.089
- symmetry = No. 107

[24]
Entry from the Alexandria database: crystalline LiSiTc at its relaxed geometry (PBE-GGA).

abc: 4.0927 4.0927 2.6199
angles: 90.00 90.00 120.00
Positions (direct):
Li (0.0000, 0.0000, 0.0000)
Si (0.6667, 0.3333, 0.1911)
Tc (0.3333, 0.6667, 0.5507)

- E_form (uncorrected) (eV per atom) = -0.193
- symmetry = No. 156

[25]
Entry from the Alexandria database: crystalline Li2SiTc at its relaxed geometry (PBE-GGA).

abc: 4.4178 4.4178 5.1499
angles: 94.96 94.96 33.62
Positions (direct):
Li (0.0000, 0.0000, 0.0000)
Li (0.2398, 0.2398, 0.7750)
Si (0.5007, 0.5007, 0.4890)
Tc (0.7558, 0.7558, 0.2956)

- E_form (uncorrected) (eV per atom) = -0.040
- symmetry = No. 8

[26]
Entry from the Alexandria database: crystalline Li2SiTc at its relaxed geometry (PBE-GGA).

abc: 5.2649 5.2649 4.1086
angles: 112.86 112.86 30.83
Positions (direct):
Li (0.2366, 0.2366, 0.2368)
Li (0.7634, 0.7634, 0.7632)
Si (0.5000, 0.5000, 0.0000)
Tc (0.0000, 0.0000, 0.5000)

- E_form (uncorrected) (eV per atom) = -0.205
- symmetry = No. 12

[27]
Entry from the Alexandria database: crystalline LiSiTc at its relaxed geometry (PBE-GGA).

abc: 6.6007 6.4463 2.6950
angles: 81.31 74.89 23.80
Positions (direct):
Li (0.0000, 0.0000, 0.0000)
Si (0.3272, 0.3272, 0.6728)
Tc (0.6809, 0.6809, 0.3191)

- E_form (uncorrected) (eV per atom) = 0.032
- symmetry = No. 42

[28]
Entry from the Alexandria database: crystalline Li2SiTc at its relaxed geometry (PBE-GGA).

abc: 2.5775 4.3585 4.9254
angles: 90.00 90.00 90.00
Positions (direct):
Li (0.0000, 0.0000, 0.2450)
Li (0.0000, 0.0000, 0.7550)
Si (0.5000, 0.5000, 0.5000)
Tc (0.5000, 0.5000, 0.0000)

- E_form (uncorrected) (eV per atom) = 0.023
- symmetry = No. 47